Entry 1:
ScIr2Pb (GGA-PBE, optimized geometry); total moment = 0.0000 μB per atom; formation energy from the elements = -0.1103 eV/atom; crystal system = monoclinic
1.0
4.571 -1.564 0.000
4.571 1.564 0.000
-1.047 0.000 5.087
Sc Ir Pb
1 2 1
Cartesian
0.000 0.000 0.000
1.547 0.000 3.898
6.547 0.000 1.189
4.047 0.000 2.544


Entry 2:
MnInSb3 (GGA-PBE, optimized geometry); energy relative to the elements, uncorrected = 0.369 eV per atom; total moment = 0.0008 μB per atom; crystal system = cubic
1.0
5.042 0.000 0.000
0.000 5.042 0.000
0.000 0.000 5.042
Mn In Sb
1 1 3
Cartesian
0.000 0.000 0.000
2.521 2.521 2.521
0.000 0.000 2.521
0.000 2.521 0.000
2.521 0.000 0.000


Entry 3:
YMg2H2 (GGA-PBE, optimized geometry); total DFT energy (no corrections) = -3.409 eV per atom; total moment = 0.0000 μB per atom; crystal system = tetragonal
1.0
6.220 0.000 0.000
0.000 6.220 0.000
0.000 0.000 4.462
Y Mg H
2 4 4
Cartesian
0.000 0.000 0.000
3.110 3.110 0.000
1.093 2.017 2.231
2.017 5.127 2.231
4.203 1.093 2.231
5.127 4.203 2.231
1.243 1.867 0.000
1.867 4.977 0.000
4.352 1.243 0.000
4.977 4.352 0.000


Entry 4:
La6Co2SiCl3 (GGA-PBE, optimized geometry); energy relative to the elements, uncorrected = -1.018 eV per atom; total moment = 0.0000 μB per atom; crystal system = monoclinic
1.0
9.438 -2.080 0.000
9.438 2.080 0.000
-2.809 0.000 8.531
La Co Si Cl
6 2 1 3
Cartesian
-0.322 0.000 2.102
4.794 0.000 3.738
3.839 0.000 7.516
12.228 0.000 1.016
11.273 0.000 4.794
16.388 0.000 6.429
2.275 0.000 2.878
13.791 0.000 5.653
9.438 0.000 0.000
0.656 0.000 7.152
8.033 0.000 4.266
15.411 0.000 1.380


Entry 5:
Ho6Tm3Cd (GGA-PBE, optimized geometry); total moment = 0.0000 μB per atom; formation energy from the elements = 0.0537 eV/atom; crystal system = orthorhombic
1.0
4.795 -10.000 0.000
4.795 10.000 0.000
0.000 0.000 6.227
Ho Tm Cd
12 6 2
Cartesian
4.795 9.636 3.113
3.070 4.332 0.120
3.035 1.117 1.464
4.795 4.305 2.909
3.035 -1.117 4.578
6.520 4.332 0.120
3.070 -4.332 3.233
6.555 1.117 1.464
4.795 -4.305 6.022
6.555 -1.117 4.578
6.520 -4.332 3.233
4.795 -9.636 0.000
1.628 2.512 4.156
1.628 -2.512 1.043
4.795 1.722 4.740
4.795 -1.722 1.626
7.962 2.512 4.156
7.962 -2.512 1.043
4.795 6.953 4.571
4.795 -6.953 1.457


Entry 6:
Y3Ho2ErP6 (GGA-PBE, optimized geometry); total moment = 0.0000 μB per atom; formation energy from the elements = -1.6209 eV/atom; crystal system = monoclinic
1.0
3.462 -5.995 0.000
3.462 5.995 0.000
-2.305 0.000 6.529
Y Ho Er P
3 2 1 6
Cartesian
0.000 0.000 0.000
3.462 2.000 0.000
3.462 -2.000 0.000
2.309 3.998 3.264
2.309 -3.998 3.264
2.309 0.000 3.264
1.157 1.995 1.647
0.006 0.000 4.883
1.157 -1.995 1.647
3.462 1.995 4.882
4.613 0.000 1.646
3.462 -1.995 4.882


Entry 7:
CoSi2Sb (GGA-PBE, optimized geometry); energy relative to the elements, uncorrected = 0.553 eV per atom; total moment = 0.1091 μB per atom; crystal system = orthorhombic
1.0
2.564 -3.695 0.000
2.564 3.695 0.000
0.000 0.000 3.459
Co Si Sb
1 2 1
Cartesian
0.000 0.000 0.000
1.282 1.848 1.730
1.282 -1.848 1.730
2.564 0.000 0.000


Entry 8:
CaTe3I (GGA-PBE, optimized geometry); energy relative to the elements, uncorrected = 0.122 eV per atom; total moment = 0.0000 μB per atom; crystal system = cubic
1.0
5.863 0.000 0.000
0.000 5.863 0.000
0.000 0.000 5.863
Ca Te I
1 3 1
Cartesian
0.000 0.000 0.000
0.000 0.000 2.931
0.000 2.931 0.000
2.931 0.000 0.000
2.931 2.931 2.931


Entry 9:
Dy2ErSc6 (GGA-PBE, optimized geometry); total moment = 0.1347 μB per atom; formation energy from the elements = 0.0756 eV/atom; crystal system = hexagonal
1.0
3.389 0.000 0.000
-1.695 2.935 0.000
0.000 0.000 24.353
Dy Er Sc
2 1 6
Cartesian
0.000 0.000 4.198
0.000 0.000 20.155
1.695 0.978 12.177
0.000 0.000 9.457
0.000 0.000 14.896
1.695 0.978 1.502
1.695 0.978 6.945
1.695 0.978 17.408
1.695 0.978 22.852


Entry 10:
BeHg2TeSe (GGA-PBE, optimized geometry); energy relative to the elements, uncorrected = 0.297 eV per atom; total moment = 0.0000 μB per atom; crystal system = tetragonal
1.0
4.707 0.000 0.000
0.000 4.707 0.000
0.000 0.000 5.445
Be Hg Te Se
1 2 1 1
Cartesian
0.000 0.000 0.000
0.000 2.353 0.000
2.353 0.000 0.000
0.000 0.000 2.723
2.353 2.353 2.723


Entry 11:
Ga2I3 (GGA-PBE, optimized geometry); energy relative to the elements, uncorrected = -0.430 eV per atom; total moment = 0.0000 μB per atom; crystal system = monoclinic
1.0
7.997 0.000 0.000
0.000 8.447 0.000
-6.908 0.000 12.744
Ga I
8 12
Cartesian
0.575 0.748 0.785
-2.879 3.475 7.157
0.161 4.920 4.016
-3.293 7.750 10.388
4.382 0.697 2.356
0.928 3.527 8.728
3.968 4.972 5.588
0.514 7.698 11.960
-5.948 5.699 11.206
-2.494 6.971 4.833
-4.132 1.798 12.449
-0.678 2.425 6.077
-2.026 4.681 9.358
1.428 7.990 2.986
-0.339 0.457 9.759
3.115 3.766 3.386
1.767 6.022 6.668
5.221 6.648 0.295
3.582 1.476 7.911
7.037 2.748 1.539


Entry 12:
CrWBr2 (GGA-PBE, optimized geometry); energy relative to the elements, uncorrected = 0.374 eV per atom; total moment = 0.4139 μB per atom; crystal system = monoclinic
1.0
7.587 -1.602 0.000
7.587 1.602 0.000
-0.438 0.000 4.138
Cr W Br
1 1 2
Cartesian
0.000 0.000 0.000
7.368 0.000 2.069
1.740 0.000 2.907
12.995 0.000 1.230


Entry 13:
KNd2US5 (GGA-PBE, optimized geometry); energy relative to the elements, uncorrected = -1.647 eV per atom; total moment = 0.2688 μB per atom; crystal system = orthorhombic
1.0
-2.518 3.602 6.978
2.518 -3.602 6.978
2.518 3.602 -6.978
K Nd U S
1 2 1 5
Cartesian
0.000 0.000 0.000
2.518 0.000 4.129
0.000 3.602 2.849
0.000 0.000 6.978
2.518 1.892 -2.095
2.518 1.892 2.095
0.000 3.602 0.000
0.000 1.710 4.884
0.000 1.710 9.073


Entry 14:
SnS (GGA-PBE, optimized geometry); energy relative to the elements, uncorrected = -0.176 eV per atom; total moment = 0.0000 μB per atom; crystal system = cubic
1.0
7.903 0.000 0.000
0.000 7.903 0.000
0.000 0.000 7.903
Sn S
6 6
Cartesian
0.000 1.976 3.952
0.000 5.927 3.952
1.976 3.952 0.000
3.952 0.000 1.976
3.952 0.000 5.927
5.927 3.952 0.000
0.000 3.952 1.976
0.000 3.952 5.927
1.976 0.000 3.952
3.952 1.976 0.000
3.952 5.927 0.000
5.927 0.000 3.952


Entry 15:
SnSb (GGA-PBE, optimized geometry); energy relative to the elements, uncorrected = 0.004 eV per atom; total moment = 0.0000 μB per atom; crystal system = tetragonal
1.0
4.413 0.000 0.000
0.000 4.413 0.000
0.000 0.000 3.044
Sn Sb
1 1
Cartesian
0.000 0.000 0.000
2.207 2.207 0.000


Entry 16:
Cu7Pd5 (GGA-PBE, optimized geometry); total moment = 0.0000 μB per atom; formation energy from the elements = -0.0981 eV/atom; crystal system = monoclinic
1.0
5.565 -1.893 0.000
5.565 1.893 0.000
-3.696 0.000 7.671
Cu Pd
7 5
Cartesian
0.000 0.000 0.000
-1.875 0.000 5.737
0.010 0.000 3.844
1.884 0.000 5.710
5.550 0.000 1.961
7.424 0.000 3.827
9.309 0.000 1.934
1.786 0.000 1.962
3.795 0.000 0.045
3.717 0.000 3.835
3.639 0.000 7.626
5.648 0.000 5.709


Entry 17:
CdSeI (GGA-PBE, optimized geometry); energy relative to the elements, uncorrected = -0.343 eV per atom; total moment = 0.0000 μB per atom; crystal system = monoclinic
1.0
6.519 0.000 0.000
0.000 4.329 0.000
-2.544 0.000 7.750
Cd Se I
2 2 2
Cartesian
0.000 0.000 0.000
1.046 2.164 6.322
-1.730 2.164 6.157
3.865 0.000 0.024
0.537 2.164 2.122
3.060 2.164 4.129


Entry 18:
Y3Tl2Ga (GGA-PBE, optimized geometry); total moment = 0.0000 μB per atom; formation energy from the elements = -0.4473 eV/atom; crystal system = tetragonal
1.0
3.669 0.000 0.000
0.000 3.669 0.000
0.000 0.000 11.579
Y Tl Ga
3 2 1
Cartesian
0.000 0.000 0.000
0.000 0.000 4.032
0.000 0.000 7.547
1.835 1.835 2.001
1.835 1.835 9.578
1.835 1.835 5.789


Entry 19:
LiZn3Sn3 (GGA-PBE, optimized geometry); total moment = 0.0000 μB per atom; formation energy from the elements = 0.2912 eV/atom; crystal system = cubic
1.0
7.525 0.000 0.000
0.000 7.525 0.000
0.000 0.000 7.525
Li Zn Sn
2 6 6
Cartesian
0.000 0.000 0.000
3.762 3.762 3.762
0.000 1.881 3.762
0.000 5.644 3.762
1.881 3.762 0.000
3.762 0.000 1.881
3.762 0.000 5.644
5.644 3.762 0.000
0.000 3.762 1.881
0.000 3.762 5.644
1.881 0.000 3.762
3.762 1.881 0.000
3.762 5.644 0.000
5.644 0.000 3.762


Entry 20:
U4SiTc (GGA-PBE, optimized geometry); energy relative to the elements, uncorrected = -0.123 eV per atom; total moment = 0.0001 μB per atom; crystal system = monoclinic
1.0
2.820 0.000 0.000
0.000 4.569 0.000
-0.689 0.000 8.397
U Si Tc
4 1 1
Cartesian
0.001 0.000 1.362
0.113 2.284 2.805
2.018 2.284 5.592
2.130 0.000 7.034
1.410 2.284 0.000
1.066 0.000 4.198